[1]
First-principles (GGA-PBE) data for a relaxed structure of ZrTa2CdH, as listed in the Alexandria database.

abc: 5.3666 5.3666 3.3136
angles: 90.00 90.00 90.00
With the nearest neighbours (Å) after each atom.
Fractional coordinates of all 5 atoms:
Zr: 0.0000 0.0000 0.0000  2 H 1.66
Ta: 0.0000 0.5000 0.0000  2 Zr 2.68
Ta: 0.5000 0.0000 0.0000  2 Zr 2.68
Cd: 0.5000 0.5000 0.5000  8 Ta 3.15, 2 Cd 3.31
H: 0.0000 0.0000 0.5000  2 Zr 1.66

Values from the calculation:
**Excess energy over the best structure of this formula in the dataset**: 5.78 eV per formula unit
**SG**: P4/mmm, No. 123

=====

[2]
First-principles (GGA-PBE) data for a relaxed structure of Tb2CdH, as listed in the Alexandria database.

abc: 8.0909 8.0909 8.0909
angles: 25.75 25.75 25.75
With the nearest neighbours (Å) after each atom.
Fractional coordinates of all 4 atoms:
Tb: 0.2252 0.2252 0.2252  3 H 2.49
Tb: 0.7748 0.7748 0.7748  3 H 2.49
Cd: 0.0000 0.0000 0.0000  6 Tb 3.28, 6 Cd 3.61
H: 0.5000 0.5000 0.5000  6 Tb 2.49

Values from the calculation:
**Final energy**: -14.53 eV for the cell shown
**SG**: R-3m, No. 166

=====

[3]
First-principles (GGA-PBE) data for a relaxed structure of TbCdH, as listed in the Alexandria database.

abc: 6.2147 6.2147 6.2147
angles: 150.27 150.27 42.55
With the nearest neighbours (Å) after each atom.
Fractional coordinates of all 3 atoms:
Tb: 0.0000 0.0000 0.0000  4 H 2.30
Cd: 0.2820 0.2820 0.0000  1 H 2.97, 4 Cd 3.19, 1 Tb 3.27
H: 0.5384 0.5384 0.0000  4 Tb 2.30

Values from the calculation:
**Excess energy over the best structure of this formula in the dataset**: 0.49 eV per formula unit
**SG**: I4mm, No. 107

=====

Total magnetic moment values (in Bohr magnetons per cell) by entry order: 0.00, 0.00, 0.15.